(1)
A plane-wave DFT calculation with PBE-GGA was carried out for a geometry-optimized Tb4Pr2Sm5 structure.

Cell: 3.542 9.197 12.777 Å, 111.09 97.97 90.00°
Fractional coordinates of all 11 atoms:
Pr1 0.268 0.268 0.536
Pr2 0.732 0.732 0.464
Sm1 0.857 0.661 0.715
Sm2 0.143 0.339 0.285
Sm3 0.500 0.000 0.000
Sm4 0.143 0.946 0.285
Sm5 0.857 0.054 0.715
Tb1 0.403 0.403 0.807
Tb2 0.597 0.597 0.193
Tb3 0.000 0.310 0.000
Tb4 0.000 0.690 0.000

Computed properties:
ΔE_f: 0.188 eV/atom
magnetization: 0.0 μB/cell
space group: Immm
distance to the lowest polymorph of the same formula: 47 meV per atom


(2)
A plane-wave DFT calculation with PBE-GGA was carried out for a geometry-optimized Tb5PrSm6 structure.

Cell: 5.099 10.206 9.538 Å, 122.34 105.50 90.00°
Fractional coordinates of all 12 atoms:
Tb1 0.333 0.333 0.666
Tb2 0.000 0.500 0.000
Tb3 0.668 0.168 0.335
Tb4 0.332 0.832 0.665
Tb5 0.667 0.667 0.334
Sm1 0.167 0.418 0.334
Sm2 0.833 0.084 0.666
Sm3 0.500 0.252 0.000
Sm4 0.167 0.916 0.334
Sm5 0.833 0.582 0.666
Sm6 0.500 0.748 0.000
Pr1 0.000 0.000 0.000

Computed properties:
ΔE_f: 0.016 eV/atom
magnetization: 0.0 μB/cell
space group: Immm
distance to the lowest polymorph of the same formula: 3 meV per atom


(3)
A plane-wave DFT calculation with PBE-GGA was carried out for a geometry-optimized Tb2PrSm4 structure.

Cell: 3.572 5.803 12.050 Å, 103.95 98.52 90.00°
Fractional coordinates of all 7 atoms:
Sm1 0.362 0.862 0.724
Sm2 0.638 0.138 0.276
Sm3 0.912 0.412 0.825
Sm4 0.088 0.588 0.175
Tb1 0.725 0.725 0.451
Tb2 0.275 0.275 0.549
Pr1 0.000 0.000 0.000

Computed properties:
ΔE_f: 0.088 eV/atom
magnetization: 0.0 μB/cell
space group: Immm
distance to the lowest polymorph of the same formula: 0 meV per atom


(4)
A plane-wave DFT calculation with PBE-GGA was carried out for a geometry-optimized Tb2PrSm4 structure.

Cell: 6.174 6.670 11.860 Å, 90.00 106.09 90.00°
Fractional coordinates of all 14 atoms:
Sm1 0.144 0.750 0.434
Sm2 0.644 0.495 0.288
Sm3 0.004 0.250 0.155
Sm4 0.644 0.005 0.288
Sm5 0.856 0.250 0.566
Sm6 0.996 0.750 0.845
Sm7 0.356 0.505 0.712
Sm8 0.356 0.995 0.712
Tb1 0.294 0.250 0.443
Tb2 0.600 0.750 0.001
Tb3 0.706 0.750 0.557
Tb4 0.400 0.250 0.999
Pr1 0.167 0.750 0.147
Pr2 0.833 0.250 0.853

Computed properties:
ΔE_f: 0.119 eV/atom
magnetization: 0.0 μB/cell
space group: P2_1/m
distance to the lowest polymorph of the same formula: 31 meV per atom


(5)
A plane-wave DFT calculation with PBE-GGA was carried out for a geometry-optimized TbPr3Sm structure.

Cell: 8.202 8.202 6.284 Å, 90.00 90.00 59.68°
Fractional coordinates of all 10 atoms:
Sm1 0.200 0.200 0.250
Sm2 0.800 0.800 0.750
Tb1 0.329 0.329 0.750
Tb2 0.671 0.671 0.250
Pr1 0.000 0.000 0.000
Pr2 0.000 0.000 0.500
Pr3 0.803 0.403 0.750
Pr4 0.197 0.597 0.250
Pr5 0.403 0.803 0.750
Pr6 0.597 0.197 0.250

Computed properties:
ΔE_f: 0.319 eV/atom
magnetization: 0.0 μB/cell
space group: Cmcm
distance to the lowest polymorph of the same formula: 139 meV per atom


(6)
A plane-wave DFT calculation with PBE-GGA was carried out for a geometry-optimized Tb4Pr5Sm4 structure.

Cell: 5.130 9.652 9.652 Å, 85.95 74.59 74.59°
Fractional coordinates of all 13 atoms:
Tb1 0.075 0.538 0.311
Tb2 0.614 0.311 0.462
Tb3 0.925 0.462 0.689
Tb4 0.386 0.689 0.538
Sm1 0.232 0.613 0.922
Sm2 0.768 0.387 0.078
Sm3 0.845 0.922 0.387
Sm4 0.155 0.078 0.613
Pr1 0.538 0.767 0.158
Pr2 0.695 0.842 0.767
Pr3 0.462 0.233 0.842
Pr4 0.305 0.158 0.233
Pr5 0.000 0.000 0.000

Computed properties:
ΔE_f: 0.016 eV/atom
magnetization: 0.0 μB/cell
space group: I4/m


(7)
A plane-wave DFT calculation with PBE-GGA was carried out for a geometry-optimized TbPr2Sm3 structure.

Cell: 3.437 6.802 17.900 Å, 90.00 90.00 90.00°
Fractional coordinates of all 12 atoms:
Tb1 0.000 0.000 0.500
Tb2 0.500 0.500 0.000
Pr1 0.000 0.736 0.652
Pr2 0.000 0.264 0.348
Pr3 0.500 0.236 0.848
Pr4 0.500 0.764 0.152
Sm1 0.500 0.258 0.177
Sm2 0.500 0.742 0.823
Sm3 0.000 0.758 0.323
Sm4 0.500 0.500 0.500
Sm5 0.000 0.000 0.000
Sm6 0.000 0.242 0.677

Computed properties:
ΔE_f: 0.247 eV/atom
magnetization: 0.0 μB/cell
space group: Pnnm
distance to the lowest polymorph of the same formula: 247 meV per atom


(8)
A plane-wave DFT calculation with PBE-GGA was carried out for a geometry-optimized Tb5PrSm structure.

Cell: 6.830 6.830 13.810 Å, 61.35 61.35 60.17°
Fractional coordinates of all 14 atoms:
Sm1 0.000 0.000 0.000
Sm2 0.000 0.000 0.500
Tb1 0.835 0.604 0.250
Tb2 0.161 0.839 0.750
Tb3 0.396 0.165 0.250
Tb4 0.307 0.351 0.000
Tb5 0.604 0.835 0.750
Tb6 0.839 0.161 0.250
Tb7 0.649 0.693 0.500
Tb8 0.165 0.396 0.750
Tb9 0.351 0.307 0.500
Tb10 0.693 0.649 0.000
Pr1 0.722 0.278 0.750
Pr2 0.278 0.722 0.250

Computed properties:
ΔE_f: 0.185 eV/atom
magnetization: 0.0 μB/cell
space group: C2/c
distance to the lowest polymorph of the same formula: 0 meV per atom


(9)
A plane-wave DFT calculation with PBE-GGA was carried out for a geometry-optimized Tb8Pr3Sm2 structure.

Cell: 6.241 8.065 9.545 Å, 65.00 83.72 82.54°
Fractional coordinates of all 13 atoms:
Tb1 0.229 0.537 0.077
Tb2 0.153 0.690 0.386
Tb3 0.771 0.463 0.923
Tb4 0.309 0.388 0.767
Tb5 0.691 0.612 0.233
Tb6 0.922 0.156 0.309
Tb7 0.078 0.844 0.691
Tb8 0.847 0.310 0.614
Sm1 0.383 0.233 0.461
Sm2 0.617 0.767 0.539
Pr1 0.000 0.000 0.000
Pr2 0.461 0.078 0.155
Pr3 0.539 0.922 0.845

Computed properties:
ΔE_f: 0.016 eV/atom
magnetization: 0.0 μB/cell
space group: P-1
distance to the lowest polymorph of the same formula: 0 meV per atom


(10)
A plane-wave DFT calculation with PBE-GGA was carried out for a geometry-optimized TbPr5Sm3 structure.

Cell: 6.866 9.027 11.809 Å, 107.76 90.00 112.35°
Fractional coordinates of all 18 atoms:
Pr1 0.611 0.216 0.547
Pr2 0.630 0.482 0.861
Pr3 0.604 0.216 0.047
Pr4 0.852 0.482 0.361
Pr5 0.396 0.784 0.953
Pr6 0.148 0.518 0.639
Pr7 0.224 0.000 0.750
Pr8 0.776 0.000 0.250
Pr9 0.389 0.784 0.453
Pr10 0.370 0.518 0.139
Sm1 0.000 0.000 0.000
Sm2 0.000 0.000 0.500
Sm3 0.064 0.349 0.867
Sm4 0.285 0.349 0.367
Sm5 0.715 0.651 0.633
Sm6 0.936 0.651 0.133
Tb1 0.682 0.000 0.750
Tb2 0.318 0.000 0.250

Computed properties:
ΔE_f: 0.150 eV/atom
magnetization: 0.0 μB/cell
space group: C2/c
distance to the lowest polymorph of the same formula: 0 meV per atom


(11)
A plane-wave DFT calculation with PBE-GGA was carried out for a geometry-optimized Tb2Pr7Sm3 structure.

Cell: 3.605 6.564 18.408 Å, 75.14 90.00 90.00°
Fractional coordinates of all 12 atoms:
Pr1 0.000 0.557 0.168
Pr2 0.500 0.053 0.171
Pr3 0.000 0.443 0.832
Pr4 0.500 0.238 0.506
Pr5 0.000 0.000 0.000
Pr6 0.500 0.947 0.829
Pr7 0.500 0.762 0.494
Tb1 0.500 0.388 0.670
Tb2 0.500 0.612 0.330
Sm1 0.000 0.116 0.339
Sm2 0.500 0.500 0.000
Sm3 0.000 0.884 0.661

Computed properties:
ΔE_f: 0.070 eV/atom
magnetization: 0.0 μB/cell
space group: P2/m
distance to the lowest polymorph of the same formula: 0 meV per atom


(12)
A plane-wave DFT calculation with PBE-GGA was carried out for a geometry-optimized Tb4PrSm6 structure.

Cell: 7.642 7.642 8.600 Å, 116.38 116.38 90.00°
Fractional coordinates of all 11 atoms:
Sm1 0.547 0.547 0.625
Sm2 0.453 0.922 0.375
Sm3 0.500 0.000 0.000
Sm4 0.922 0.453 0.375
Sm5 0.078 0.078 0.625
Sm6 0.000 0.500 0.000
Pr1 0.500 0.500 0.000
Tb1 0.087 0.756 0.843
Tb2 0.913 0.913 0.157
Tb3 0.756 0.087 0.843
Tb4 0.244 0.244 0.157

Computed properties:
ΔE_f: 0.381 eV/atom
magnetization: 0.0 μB/cell
space group: I-42m
distance to the lowest polymorph of the same formula: 76 meV per atom


(13)
A plane-wave DFT calculation with PBE-GGA was carried out for a geometry-optimized Tb6Pr3Sm structure.

Cell: 6.409 11.030 11.030 Å, 119.99 90.00 90.00°
Fractional coordinates of all 20 atoms:
Tb1 0.150 0.727 0.273
Tb2 0.365 0.962 0.038
Tb3 0.373 0.052 0.471
Tb4 0.373 0.529 0.948
Tb5 0.865 0.038 0.962
Tb6 0.873 0.948 0.529
Tb7 0.549 0.624 0.713
Tb8 0.049 0.713 0.624
Tb9 0.650 0.273 0.727
Tb10 0.549 0.287 0.376
Tb11 0.873 0.471 0.052
Tb12 0.049 0.376 0.287
Pr1 0.463 0.291 0.063
Pr2 0.463 0.937 0.709
Pr3 0.073 0.387 0.613
Pr4 0.963 0.709 0.937
Pr5 0.573 0.613 0.387
Pr6 0.963 0.063 0.291
Sm1 0.626 0.807 0.193
Sm2 0.126 0.193 0.807

Computed properties:
ΔE_f: 0.145 eV/atom
magnetization: 0.0 μB/cell
space group: Cmc2_1
distance to the lowest polymorph of the same formula: 0 meV per atom


(14)
A plane-wave DFT calculation with PBE-GGA was carried out for a geometry-optimized Tb4PrSm4 structure.

Cell: 10.829 9.549 10.822 Å, 75.44 93.15 145.01°
Fractional coordinates of all 18 atoms:
Sm1 0.666 0.918 0.582
Sm2 0.001 0.750 0.749
Sm3 0.999 0.250 0.251
Sm4 0.334 0.082 0.418
Sm5 0.223 0.805 0.029
Sm6 0.777 0.195 0.971
Sm7 0.890 0.974 0.860
Sm8 0.110 0.026 0.140
Tb1 0.332 0.584 0.915
Tb2 0.668 0.416 0.085
Tb3 0.557 0.139 0.693
Tb4 0.888 0.471 0.362
Tb5 0.779 0.695 0.472
Tb6 0.221 0.305 0.528
Tb7 0.443 0.861 0.307
Tb8 0.112 0.529 0.638
Pr1 0.446 0.362 0.805
Pr2 0.554 0.638 0.195

Computed properties:
ΔE_f: 0.015 eV/atom
magnetization: 0.0 μB/cell
space group: P-1


(15)
A plane-wave DFT calculation with PBE-GGA was carried out for a geometry-optimized Tb5PrSm3 structure.

Cell: 6.119 11.083 11.577 Å, 124.11 90.00 106.02°
Fractional coordinates of all 18 atoms:
Sm1 0.603 0.633 0.672
Sm2 0.970 0.367 0.828
Sm3 0.030 0.633 0.172
Sm4 0.000 0.000 0.500
Sm5 0.000 0.000 0.000
Sm6 0.397 0.367 0.328
Tb1 0.595 0.000 0.250
Tb2 0.405 0.000 0.750
Tb3 0.817 0.279 0.139
Tb4 0.978 0.359 0.521
Tb5 0.462 0.279 0.639
Tb6 0.538 0.721 0.361
Tb7 0.382 0.359 0.021
Tb8 0.022 0.641 0.479
Tb9 0.618 0.641 0.979
Tb10 0.183 0.721 0.861
Pr1 0.111 0.000 0.250
Pr2 0.889 0.000 0.750

Computed properties:
ΔE_f: 0.305 eV/atom
magnetization: 0.0 μB/cell
space group: C2/c
distance to the lowest polymorph of the same formula: 0 meV per atom


(16)
A plane-wave DFT calculation with PBE-GGA was carried out for a geometry-optimized Tb2Pr3Sm5 structure.

Cell: 11.136 10.074 10.074 Å, 56.51 56.44 56.44°
Fractional coordinates of all 20 atoms:
Sm1 0.999 0.251 0.251
Sm2 0.878 0.525 0.719
Sm3 0.622 0.281 0.475
Sm4 0.122 0.475 0.281
Sm5 0.378 0.719 0.525
Sm6 0.250 0.500 0.500
Sm7 0.001 0.749 0.749
Sm8 0.750 0.500 0.500
Sm9 0.501 0.749 0.749
Sm10 0.499 0.251 0.251
Pr1 0.626 0.624 0.124
Pr2 0.750 0.000 0.000
Pr3 0.250 0.000 0.000
Pr4 0.874 0.876 0.376
Pr5 0.126 0.124 0.624
Pr6 0.374 0.376 0.876
Tb1 0.372 0.037 0.219
Tb2 0.628 0.963 0.781
Tb3 0.872 0.219 0.037
Tb4 0.128 0.781 0.963

Computed properties:
ΔE_f: 0.361 eV/atom
magnetization: 0.0 μB/cell
space group: Ibam
distance to the lowest polymorph of the same formula: 179 meV per atom


(17)
A plane-wave DFT calculation with PBE-GGA was carried out for a geometry-optimized Tb5Pr4Sm3 structure.

Cell: 7.253 11.486 13.094 Å, 151.29 56.29 129.29°
Fractional coordinates of all 12 atoms:
Tb1 0.752 0.499 0.999
Tb2 0.248 0.501 0.001
Tb3 0.331 0.665 0.834
Tb4 0.500 0.000 0.500
Tb5 0.669 0.335 0.166
Pr1 0.083 0.164 0.333
Pr2 0.917 0.836 0.667
Pr3 0.830 0.663 0.832
Pr4 0.170 0.337 0.168
Sm1 0.421 0.837 0.668
Sm2 0.000 0.000 0.500
Sm3 0.579 0.163 0.332

Computed properties:
ΔE_f: 0.015 eV/atom
magnetization: 0.0 μB/cell
space group: P-1
distance to the lowest polymorph of the same formula: 0 meV per atom


(18)
A plane-wave DFT calculation with PBE-GGA was carried out for a geometry-optimized Tb8Pr3Sm structure.

Cell: 8.429 8.429 8.429 Å, 94.91 117.21 117.21°
Fractional coordinates of all 12 atoms:
Sm1 0.000 0.000 0.000
Tb1 0.506 0.747 0.747
Tb2 0.750 0.122 0.122
Tb3 0.494 0.241 0.241
Tb4 0.000 0.759 0.253
Tb5 0.000 0.253 0.759
Tb6 0.000 0.878 0.628
Tb7 0.250 0.372 0.372
Tb8 0.000 0.628 0.878
Pr1 0.000 0.500 0.500
Pr2 0.500 0.750 0.250
Pr3 0.500 0.250 0.750

Computed properties:
ΔE_f: 0.600 eV/atom
magnetization: 0.0 μB/cell
space group: I-42m


(19)
A plane-wave DFT calculation with PBE-GGA was carried out for a geometry-optimized Tb2Pr4Sm structure.

Cell: 6.231 6.742 11.897 Å, 90.00 104.64 90.00°
Fractional coordinates of all 14 atoms:
Sm1 0.849 0.250 0.843
Sm2 0.151 0.750 0.157
Tb1 0.712 0.750 0.570
Tb2 0.598 0.750 0.997
Tb3 0.402 0.250 0.003
Tb4 0.288 0.250 0.430
Pr1 0.645 0.506 0.285
Pr2 0.355 0.006 0.715
Pr3 0.849 0.250 0.554
Pr4 0.355 0.494 0.715
Pr5 0.151 0.750 0.446
Pr6 0.645 0.994 0.285
Pr7 0.019 0.750 0.857
Pr8 0.981 0.250 0.143

Computed properties:
ΔE_f: 0.118 eV/atom
magnetization: 0.0 μB/cell
space group: P2_1/m
distance to the lowest polymorph of the same formula: 56 meV per atom